[1]
# Cd2NiOsI GGA-PBE relaxed
# * uncorrected energy: -16.0 eV per cell
# * SG: P4/mmm, No. 123
data_Cd2NiOsI
_chemical_formula_sum 'Cd2 Ni1 Os1 I1'
_space_group_name_H-M_alt 'P 1'
_space_group_IT_number 1
_cell_length_a 5.018
_cell_length_b 5.018
_cell_length_c 4.542
_cell_angle_alpha 90.00
_cell_angle_beta 90.00
_cell_angle_gamma 90.00
loop_
_space_group_symop_operation_xyz
'x,y,z'
loop_
_atom_site_label
_atom_site_type_symbol
_atom_site_fract_x
_atom_site_fract_y
_atom_site_fract_z
Cd1 Cd 0.000 0.500 0.000
Cd2 Cd 0.500 0.000 0.000
Ni1 Ni 0.000 0.000 0.000
Os1 Os 0.000 0.000 0.500
I1 I 0.500 0.500 0.500

***

[2]
# CdRe2NiI GGA-PBE relaxed
# * uncorrected energy: -24.9 eV per cell
# * SG: P4/mmm, No. 123
data_CdRe2NiI
_chemical_formula_sum 'Cd1 Re2 Ni1 I1'
_space_group_name_H-M_alt 'P 1'
_space_group_IT_number 1
_cell_length_a 4.595
_cell_length_b 4.595
_cell_length_c 4.838
_cell_angle_alpha 90.00
_cell_angle_beta 90.00
_cell_angle_gamma 90.00
loop_
_space_group_symop_operation_xyz
'x,y,z'
loop_
_atom_site_label
_atom_site_type_symbol
_atom_site_fract_x
_atom_site_fract_y
_atom_site_fract_z
Cd1 Cd 0.000 0.000 0.000
Re1 Re 0.000 0.500 0.500
Re2 Re 0.500 0.000 0.500
Ni1 Ni 0.000 0.000 0.500
I1 I 0.500 0.500 0.000

***

[3]
# CdNi2SI GGA-PBE relaxed
# * uncorrected energy: -12.7 eV per cell
# * SG: P4/mmm, No. 123
data_CdNi2SI
_chemical_formula_sum 'Cd1 Ni2 S1 I1'
_space_group_name_H-M_alt 'P 1'
_space_group_IT_number 1
_cell_length_a 5.100
_cell_length_b 5.100
_cell_length_c 4.655
_cell_angle_alpha 90.00
_cell_angle_beta 90.00
_cell_angle_gamma 90.00
loop_
_space_group_symop_operation_xyz
'x,y,z'
loop_
_atom_site_label
_atom_site_type_symbol
_atom_site_fract_x
_atom_site_fract_y
_atom_site_fract_z
Cd1 Cd 0.000 0.000 0.000
Ni1 Ni 0.000 0.500 0.000
Ni2 Ni 0.500 0.000 0.000
S1 S 0.000 0.000 0.500
I1 I 0.500 0.500 0.500

***

[4]
# CdNiSbI2 GGA-PBE relaxed
# * uncorrected energy: -9.2 eV per cell
# * SG: P4/mmm, No. 123
# * E above lowest polymorph: 0.711 eV per atom
data_CdNiSbI2
_chemical_formula_sum 'Cd1 Ni1 Sb1 I2'
_space_group_name_H-M_alt 'P 1'
_space_group_IT_number 1
_cell_length_a 5.864
_cell_length_b 5.864
_cell_length_c 5.653
_cell_angle_alpha 90.00
_cell_angle_beta 90.00
_cell_angle_gamma 90.00
loop_
_space_group_symop_operation_xyz
'x,y,z'
loop_
_atom_site_label
_atom_site_type_symbol
_atom_site_fract_x
_atom_site_fract_y
_atom_site_fract_z
Cd1 Cd 0.000 0.000 0.000
Ni1 Ni 0.500 0.500 0.500
Sb1 Sb 0.000 0.000 0.500
I1 I 0.000 0.500 0.000
I2 I 0.500 0.000 0.000

***

[5]
# CdNiSbI2 GGA-PBE relaxed
# * uncorrected energy: -12.7 eV per cell
# * SG: P4/mmm, No. 123
# * E above lowest polymorph: 0.000 eV per atom
data_CdNiSbI2
_chemical_formula_sum 'Cd1 Ni1 Sb1 I2'
_space_group_name_H-M_alt 'P 1'
_space_group_IT_number 1
_cell_length_a 5.516
_cell_length_b 5.516
_cell_length_c 4.895
_cell_angle_alpha 90.00
_cell_angle_beta 90.00
_cell_angle_gamma 90.00
loop_
_space_group_symop_operation_xyz
'x,y,z'
loop_
_atom_site_label
_atom_site_type_symbol
_atom_site_fract_x
_atom_site_fract_y
_atom_site_fract_z
Cd1 Cd 0.000 0.000 0.000
Ni1 Ni 0.500 0.500 0.500
Sb1 Sb 0.500 0.500 0.000
I1 I 0.000 0.500 0.500
I2 I 0.500 0.000 0.500

***

[6]
# CdNi2SeI GGA-PBE relaxed
# * uncorrected energy: -11.0 eV per cell
# * SG: P4/mmm, No. 123
data_CdNi2SeI
_chemical_formula_sum 'Cd1 Ni2 Se1 I1'
_space_group_name_H-M_alt 'P 1'
_space_group_IT_number 1
_cell_length_a 4.841
_cell_length_b 4.841
_cell_length_c 5.624
_cell_angle_alpha 90.00
_cell_angle_beta 90.00
_cell_angle_gamma 90.00
loop_
_space_group_symop_operation_xyz
'x,y,z'
loop_
_atom_site_label
_atom_site_type_symbol
_atom_site_fract_x
_atom_site_fract_y
_atom_site_fract_z
Cd1 Cd 0.000 0.000 0.000
Ni1 Ni 0.000 0.500 0.000
Ni2 Ni 0.500 0.000 0.000
Se1 Se 0.500 0.500 0.500
I1 I 0.000 0.000 0.500

***

[7]
# Sr2CdNiI GGA-PBE relaxed
# * uncorrected energy: -13.8 eV per cell
# * SG: P4/mmm, No. 123
data_Sr2CdNiI
_chemical_formula_sum 'Sr2 Cd1 Ni1 I1'
_space_group_name_H-M_alt 'P 1'
_space_group_IT_number 1
_cell_length_a 5.808
_cell_length_b 5.808
_cell_length_c 4.995
_cell_angle_alpha 90.00
_cell_angle_beta 90.00
_cell_angle_gamma 90.00
loop_
_space_group_symop_operation_xyz
'x,y,z'
loop_
_atom_site_label
_atom_site_type_symbol
_atom_site_fract_x
_atom_site_fract_y
_atom_site_fract_z
Sr1 Sr 0.000 0.500 0.000
Sr2 Sr 0.500 0.000 0.000
Cd1 Cd 0.000 0.000 0.500
Ni1 Ni 0.000 0.000 0.000
I1 I 0.500 0.500 0.500

***

[8]
# ZnCdNi2I GGA-PBE relaxed
# * uncorrected energy: -10.8 eV per cell
# * SG: P4/mmm, No. 123
data_ZnCdNi2I
_chemical_formula_sum 'Zn1 Cd1 Ni2 I1'
_space_group_name_H-M_alt 'P 1'
_space_group_IT_number 1
_cell_length_a 4.642
_cell_length_b 4.642
_cell_length_c 5.829
_cell_angle_alpha 90.00
_cell_angle_beta 90.00
_cell_angle_gamma 90.00
loop_
_space_group_symop_operation_xyz
'x,y,z'
loop_
_atom_site_label
_atom_site_type_symbol
_atom_site_fract_x
_atom_site_fract_y
_atom_site_fract_z
Zn1 Zn 0.000 0.000 0.000
Cd1 Cd 0.500 0.500 0.000
Ni1 Ni 0.000 0.500 0.500
Ni2 Ni 0.500 0.000 0.500
I1 I 0.000 0.000 0.500

***

[9]
# NpCdI6 GGA-PBE relaxed
# * uncorrected energy: -28.2 eV per cell
# * SG: R-3, No. 148
# * E above lowest polymorph: 0.051 eV per atom
data_NpCdI6
_chemical_formula_sum 'Np1 Cd1 I6'
_space_group_name_H-M_alt 'P 1'
_space_group_IT_number 1
_cell_length_a 8.146
_cell_length_b 8.146
_cell_length_c 8.146
_cell_angle_alpha 55.12
_cell_angle_beta 55.12
_cell_angle_gamma 55.12
loop_
_space_group_symop_operation_xyz
'x,y,z'
loop_
_atom_site_label
_atom_site_type_symbol
_atom_site_fract_x
_atom_site_fract_y
_atom_site_fract_z
Np1 Np 0.000 0.000 0.000
Cd1 Cd 0.500 0.500 0.500
I1 I 0.088 0.754 0.408
I2 I 0.246 0.592 0.912
I3 I 0.408 0.088 0.754
I4 I 0.592 0.912 0.246
I5 I 0.754 0.408 0.088
I6 I 0.912 0.246 0.592

***

[10]
# NpCd2I6 GGA-PBE relaxed
# * uncorrected energy: -29.2 eV per cell
# * SG: R3, No. 146
data_NpCd2I6
_chemical_formula_sum 'Np1 Cd2 I6'
_space_group_name_H-M_alt 'P 1'
_space_group_IT_number 1
_cell_length_a 8.917
_cell_length_b 8.917
_cell_length_c 8.917
_cell_angle_alpha 55.44
_cell_angle_beta 55.44
_cell_angle_gamma 55.44
loop_
_space_group_symop_operation_xyz
'x,y,z'
loop_
_atom_site_label
_atom_site_type_symbol
_atom_site_fract_x
_atom_site_fract_y
_atom_site_fract_z
Np1 Np 0.000 0.000 0.000
Cd1 Cd 0.270 0.270 0.270
Cd2 Cd 0.394 0.394 0.394
I1 I 0.099 0.370 0.784
I2 I 0.209 0.923 0.619
I3 I 0.370 0.784 0.099
I4 I 0.619 0.209 0.923
I5 I 0.784 0.099 0.370
I6 I 0.923 0.619 0.209

***

[11]
# NpCdI6 GGA-PBE relaxed
# * uncorrected energy: -28.6 eV per cell
# * SG: C2/m, No. 12
# * E above lowest polymorph: 0.000 eV per atom
data_NpCdI6
_chemical_formula_sum 'Np1 Cd1 I6'
_space_group_name_H-M_alt 'P 1'
_space_group_IT_number 1
_cell_length_a 7.913
_cell_length_b 7.913
_cell_length_c 7.308
_cell_angle_alpha 91.02
_cell_angle_beta 91.02
_cell_angle_gamma 119.96
loop_
_space_group_symop_operation_xyz
'x,y,z'
loop_
_atom_site_label
_atom_site_type_symbol
_atom_site_fract_x
_atom_site_fract_y
_atom_site_fract_z
Np1 Np 0.000 0.000 0.000
Cd1 Cd 0.000 0.000 0.500
I1 I 0.000 0.305 0.758
I2 I 0.000 0.695 0.242
I3 I 0.305 0.000 0.758
I4 I 0.305 0.305 0.259
I5 I 0.695 0.000 0.242
I6 I 0.695 0.695 0.741

***

[12]
# NpCd2I8 GGA-PBE relaxed
# * uncorrected energy: -34.0 eV per cell
# * SG: C2/m, No. 12
data_NpCd2I8
_chemical_formula_sum 'Np1 Cd2 I8'
_space_group_name_H-M_alt 'P 1'
_space_group_IT_number 1
_cell_length_a 9.139
_cell_length_b 9.139
_cell_length_c 7.224
_cell_angle_alpha 90.64
_cell_angle_beta 90.64
_cell_angle_gamma 63.46
loop_
_space_group_symop_operation_xyz
'x,y,z'
loop_
_atom_site_label
_atom_site_type_symbol
_atom_site_fract_x
_atom_site_fract_y
_atom_site_fract_z
Np1 Np 0.000 0.000 0.000
Cd1 Cd 0.182 0.182 0.623
Cd2 Cd 0.818 0.818 0.377
I1 I 0.150 0.702 0.244
I2 I 0.167 0.167 0.218
I3 I 0.298 0.850 0.756
I4 I 0.352 0.352 0.695
I5 I 0.648 0.648 0.305
I6 I 0.702 0.150 0.244
I7 I 0.833 0.833 0.782
I8 I 0.850 0.298 0.756

***

The following total magnetization values (in μB/f.u.) correspond, in order, to the records above: 0.82 0.37 1.33 2.50 0.00 0.00 0.00 0.00 3.00 3.36 3.00 2.79.
The following DOS(E_F) values (in states/eV/f.u.) correspond, in order, to the records above: 3.88 6.74 6.60 15.36 4.30 7.04 2.45 3.20 5.96 11.08 6.27 6.67.
The following uncorrected formation energy values (in eV/f.u.) correspond, in order, to the records above: 4.41 8.21 5.46 4.75 1.19 6.54 -2.17 4.46 -5.07 -5.10 -5.47 -6.81.